Entry 1:
Material: YGaBi2
Method: DFT, PBE
State: optimized geometry

## Properties
Space-group type: I-42d, No. 122

Cell lengths 6.8508, 6.8508, 6.8508 Å; angles 102.73, 102.73, 124.02 degrees
Positions (direct):
Y: 0.0000 0.0000 0.0000
Y: 0.7500 0.2500 0.5000
Ga: 0.2500 0.7500 0.5000
Ga: 0.5000 0.5000 0.0000
Bi: 0.1404 0.6250 0.0154
Bi: 0.3750 0.3904 0.5154
Bi: 0.6096 0.1250 0.9846
Bi: 0.8750 0.8596 0.4846

Entry 2:
Material: Y2Ga2Bi
Method: DFT, PBE
State: optimized geometry

## Properties
Distance to the lowest polymorph of the same formula (meV/atom): 450
Space-group type: I4/mmm, No. 139

Cell lengths 6.5925, 6.5925, 6.5925 Å; angles 135.66, 135.66, 64.50 degrees
Positions (direct):
Y: 0.2500 0.7500 0.5000
Y: 0.7500 0.2500 0.5000
Ga: 0.1059 0.1059 0.0000
Ga: 0.8941 0.8941 0.0000
Bi: 0.5000 0.5000 0.0000

Entry 3:
Material: Y5Ga2Bi2
Method: DFT, PBE
State: optimized geometry

## Properties
Space-group type: Cmce, No. 64

Cell lengths 8.7715, 8.7715, 8.0228 Å; angles 90.00, 90.00, 54.40 degrees
Positions (direct):
Y: 0.0000 0.0000 0.0000
Y: 0.0425 0.7043 0.6686
Y: 0.2043 0.5425 0.1686
Y: 0.2957 0.9575 0.6686
Y: 0.4575 0.7957 0.1686
Y: 0.5000 0.5000 0.5000
Y: 0.5425 0.2043 0.8314
Y: 0.7043 0.0425 0.3314
Y: 0.7957 0.4575 0.8314
Y: 0.9575 0.2957 0.3314
Ga: 0.1266 0.8734 0.3743
Ga: 0.3734 0.6266 0.8743
Ga: 0.6266 0.3734 0.1257
Ga: 0.8734 0.1266 0.6257
Bi: 0.2077 0.2077 0.0000
Bi: 0.2923 0.2923 0.5000
Bi: 0.7077 0.7077 0.5000
Bi: 0.7923 0.7923 0.0000

Entry 4:
Material: YGaBi2
Method: DFT, PBE
State: optimized geometry

## Properties
Space-group type: P4/mmm, No. 123

Cell lengths 4.1894, 4.1894, 6.3559 Å; angles 90.00, 90.00, 90.00 degrees
Positions (direct):
Y: 0.0000 0.0000 0.0000
Ga: 0.0000 0.0000 0.5000
Bi: 0.5000 0.5000 0.2497
Bi: 0.5000 0.5000 0.7503

Entry 5:
Material: Y2GaBi
Method: DFT, PBE
State: optimized geometry

## Properties
Distance to the lowest polymorph of the same formula (meV/atom): 311
Space-group type: I-42d, No. 122

Cell lengths 6.7030, 6.7030, 6.7030 Å; angles 105.58, 105.58, 117.56 degrees
Positions (direct):
Y: 0.1066 0.1250 0.4816
Y: 0.3750 0.8934 0.0184
Y: 0.6434 0.6250 0.5184
Y: 0.8750 0.3566 0.9816
Ga: 0.0000 0.0000 0.0000
Ga: 0.7500 0.2500 0.5000
Bi: 0.2500 0.7500 0.5000
Bi: 0.5000 0.5000 0.0000

Entry 6:
Material: YGaBi3
Method: DFT, PBE
State: optimized geometry

## Properties
Distance to the lowest polymorph of the same formula (meV/atom): 0
Space-group type: Pm-3m, No. 221

Cell lengths 5.4693, 5.4693, 5.4693 Å; angles 90.00, 90.00, 90.00 degrees
Positions (direct):
Y: 0.0000 0.0000 0.0000
Ga: 0.5000 0.5000 0.5000
Bi: 0.0000 0.5000 0.5000
Bi: 0.5000 0.0000 0.5000
Bi: 0.5000 0.5000 0.0000

Entry 7:
Material: Y2GaBi
Method: DFT, PBE
State: optimized geometry

## Properties
Distance to the lowest polymorph of the same formula (meV/atom): 0
Space-group type: Cmcm, No. 63

Cell lengths 11.9723, 11.9723, 4.2876 Å; angles 90.00, 90.00, 158.53 degrees
Positions (direct):
Y: 0.0593 0.9407 0.7500
Y: 0.3271 0.6729 0.7500
Y: 0.6729 0.3271 0.2500
Y: 0.9407 0.0593 0.2500
Ga: 0.4642 0.5358 0.7500
Ga: 0.5358 0.4642 0.2500
Bi: 0.1909 0.8091 0.7500
Bi: 0.8091 0.1909 0.2500

Entry 8:
Material: Y5GaBi2
Method: DFT, PBE
State: optimized geometry

## Properties
Distance to the lowest polymorph of the same formula (meV/atom): 355
Space-group type: Cmcm, No. 63

Cell lengths 6.8048, 6.8048, 14.2764 Å; angles 90.00, 90.00, 127.19 degrees
Positions (direct):
Y: 0.0697 0.9303 0.6123
Y: 0.0697 0.9303 0.8877
Y: 0.3478 0.6522 0.2500
Y: 0.3771 0.6229 0.5729
Y: 0.3771 0.6229 0.9271
Y: 0.6229 0.3771 0.0729
Y: 0.6229 0.3771 0.4271
Y: 0.6522 0.3478 0.7500
Y: 0.9303 0.0697 0.1123
Y: 0.9303 0.0697 0.3877
Ga: 0.2433 0.7567 0.7500
Ga: 0.7567 0.2433 0.2500
Bi: 0.1873 0.8127 0.0853
Bi: 0.1873 0.8127 0.4147
Bi: 0.8127 0.1873 0.5853
Bi: 0.8127 0.1873 0.9147

Entry 9:
Material: Y2Ga2Bi
Method: DFT, PBE
State: optimized geometry

## Properties
Distance to the lowest polymorph of the same formula (meV/atom): 0
Space-group type: P4/mbm, No. 127

Cell lengths 7.5970, 7.5970, 4.2705 Å; angles 90.00, 90.00, 90.00 degrees
Positions (direct):
Y: 0.1743 0.3257 0.0000
Y: 0.3257 0.8257 0.0000
Y: 0.6743 0.1743 0.0000
Y: 0.8257 0.6743 0.0000
Ga: 0.1183 0.6183 0.5000
Ga: 0.3817 0.1183 0.5000
Ga: 0.6183 0.8817 0.5000
Ga: 0.8817 0.3817 0.5000
Bi: 0.0000 0.0000 0.5000
Bi: 0.5000 0.5000 0.5000

Entry 10:
Material: Y5GaBi4
Method: DFT, PBE
State: optimized geometry

## Properties
Space-group type: I4/m, No. 87

Cell lengths 7.6738, 7.6738, 7.6738 Å; angles 99.60, 99.60, 131.80 degrees
Positions (direct):
Y: 0.0000 0.0000 0.0000
Y: 0.2090 0.6002 0.8092
Y: 0.3998 0.2090 0.6089
Y: 0.6002 0.7910 0.3911
Y: 0.7910 0.3998 0.1908
Ga: 0.5000 0.5000 0.0000
Bi: 0.0949 0.3019 0.3969
Bi: 0.3019 0.9051 0.2070
Bi: 0.6981 0.0949 0.7930
Bi: 0.9051 0.6981 0.6031

Entry 11:
Material: Y2GaBi
Method: DFT, PBE
State: optimized geometry

## Properties
Distance to the lowest polymorph of the same formula (meV/atom): 162
Space-group type: R-3m, No. 166

Cell lengths 7.8831, 7.8831, 7.8831 Å; angles 31.10, 31.10, 31.10 degrees
Positions (direct):
Y: 0.2476 0.2476 0.2476
Y: 0.7524 0.7524 0.7524
Ga: 0.5000 0.5000 0.5000
Bi: 0.0000 0.0000 0.0000

Entry 12:
Material: Y12Ga6Bi
Method: DFT, PBE
State: optimized geometry

## Properties
Space-group type: Im-3, No. 204

Cell lengths 8.7925, 8.7925, 8.7925 Å; angles 109.47, 109.47, 109.47 degrees
Positions (direct):
Y: 0.1095 0.2986 0.8108
Y: 0.1892 0.4878 0.2986
Y: 0.1892 0.8905 0.7014
Y: 0.2986 0.1892 0.4878
Y: 0.2986 0.8108 0.1095
Y: 0.4878 0.2986 0.1892
Y: 0.5122 0.7014 0.8108
Y: 0.7014 0.1892 0.8905
Y: 0.7014 0.8108 0.5122
Y: 0.8108 0.1095 0.2986
Y: 0.8108 0.5122 0.7014
Y: 0.8905 0.7014 0.1892
Ga: 0.1215 0.5000 0.6215
Ga: 0.3785 0.8785 0.5000
Ga: 0.5000 0.3785 0.8785
Ga: 0.5000 0.6215 0.1215
Ga: 0.6215 0.1215 0.5000
Ga: 0.8785 0.5000 0.3785
Bi: 0.0000 0.0000 0.0000

| no. | M_tot (μB/atom) | mass density (g cm⁻³) | ΔE_f (eV per formula unit) |
| --- | --- | --- | --- |
| 1 | 0.000 | 8.1 | -0.9 |
| 2 | 0.000 | 6.3 | -0.9 |
| 3 | 0.000 | 6.6 | -6.8 |
| 4 | 0.000 | 8.6 | -1.5 |
| 5 | 0.000 | 6.6 | -1.7 |
| 6 | 0.000 | 8.0 | 1.2 |
| 7 | 0.000 | 6.7 | -2.9 |
| 8 | 0.000 | 5.9 | -2.3 |
| 9 | 0.000 | 7.1 | -3.1 |
| 10 | 0.000 | 7.3 | -7.4 |
| 11 | 0.000 | 6.5 | -2.3 |
| 12 | 0.000 | 5.4 | -8.3 |